No. 1
VASP calculation (GGA-PBEsol) on a relaxed structure of Zn2GeI2.

```
Zn2GeI2
1.0
-2.279 3.562 -3.680
-3.457 -3.785 2.269
-3.696 3.679 2.058
Zn Ge I
2 1 2
Direct
0.000 0.661 0.339
0.000 0.339 0.661
0.000 0.000 0.000
0.500 0.750 0.750
0.500 0.250 0.250
```

## Properties
Formation energy from raw total energies = 0.198 eV/atom
Crystal system = tetragonal

No. 2
VASP calculation (GGA-PBEsol) on a relaxed structure of LaHfTc2Rh.

```
LaHfTc2Rh
1.0
4.721 0.000 0.000
0.000 4.721 0.000
0.000 0.000 4.972
Rh Tc La Hf
1 2 1 1
Direct
0.000 0.000 0.000
0.000 0.500 0.000
0.500 0.000 0.000
0.000 0.000 0.500
0.500 0.500 0.500
```

## Properties
Crystal system = tetragonal

No. 3
VASP calculation (GGA-PBEsol) on a relaxed structure of CoIO3.

```
CoIO3
1.0
3.766 0.000 0.000
0.000 3.766 0.000
0.000 0.000 3.766
I O Co
1 3 1
Direct
0.500 0.500 0.500
0.000 0.000 0.500
0.000 0.500 0.000
0.500 0.000 0.000
0.000 0.000 0.000
```

## Properties
Formation energy from raw total energies = -0.202 eV/atom
Crystal system = cubic

No. 4
VASP calculation (GGA-PBEsol) on a relaxed structure of Nd2Co2SiC.

```
Nd2Co2SiC
1.0
-1.481 -3.530 0.765
2.763 -2.374 4.353
-2.647 0.040 5.020
Co C Nd Si
2 1 2 1
Direct
0.500 0.205 0.795
0.500 0.795 0.205
0.500 0.500 0.500
0.192 0.308 0.308
0.808 0.692 0.692
0.000 0.000 0.000
```

## Properties
Formation energy from raw total energies = -0.502 eV/atom
Crystal system = orthorhombic

No. 5
VASP calculation (GGA-PBEsol) on a relaxed structure of Li4TiS4.

```
Li4TiS4
1.0
6.619 0.020 0.000
-0.272 6.614 0.000
0.000 0.000 7.721
Li Ti S
8 2 8
Direct
0.841 0.159 0.500
0.890 0.581 0.750
0.159 0.841 0.500
0.159 0.841 0.000
0.581 0.890 0.750
0.419 0.110 0.250
0.841 0.159 0.000
0.110 0.419 0.250
0.339 0.339 0.750
0.661 0.661 0.250
0.272 0.670 0.750
0.670 0.272 0.750
0.795 0.795 0.003
0.330 0.728 0.250
0.205 0.205 0.997
0.728 0.330 0.250
0.205 0.205 0.503
0.795 0.795 0.497
```

## Properties
Offset from the most stable computed form = 0.27 eV per formula unit
Formation energy from raw total energies = -1.295 eV/atom
Crystal system = orthorhombic

No. 6
VASP calculation (GGA-PBEsol) on a relaxed structure of BiP2NF.

```
BiP2NF
1.0
-1.096 -1.819 -3.703
3.160 -4.177 1.117
-4.099 -2.454 2.420
P Bi N F
2 1 1 1
Direct
0.000 0.000 0.500
0.000 0.500 0.000
0.000 0.000 0.000
0.500 0.000 0.000
0.500 0.500 0.500
```

## Properties
Formation energy from raw total energies = 1.652 eV/atom
Crystal system = tetragonal

No. 7
VASP calculation (GGA-PBEsol) on a relaxed structure of Mg2AgMo.

```
Mg2AgMo
1.0
-0.526 -0.982 -2.556
-1.691 -1.931 1.090
-6.953 5.667 -0.746
Mo Ag Mg
1 1 2
Direct
0.000 0.000 0.508
0.500 0.500 0.745
0.500 0.500 0.268
0.000 0.000 0.980
```

## Properties
Offset from the most stable computed form = 0.40 eV per formula unit
Crystal system = tetragonal

No. 8
VASP calculation (GGA-PBEsol) on a relaxed structure of Mn3SbW.

```
Mn3SbW
1.0
4.548 0.000 0.000
0.000 4.548 0.000
0.000 0.000 4.548
Mn W Sb
3 1 1
Direct
0.000 0.500 0.000
0.000 0.000 0.500
0.500 0.000 0.000
0.000 0.000 0.000
0.500 0.500 0.500
```

## Properties
Formation energy from raw total energies = 1.367 eV/atom
Crystal system = cubic

Number 1: total magnetic moment 0.000 μB/f.u., raw total energy -10.645 eV for the cell shown. Number 2: total magnetic moment 0.000 μB/f.u., raw total energy -40.554 eV for the cell shown. Number 3: total magnetic moment 0.870 μB/f.u., raw total energy -26.260 eV for the cell shown. Number 4: total magnetic moment 0.001 μB/f.u., raw total energy -44.209 eV for the cell shown. Number 5: total magnetic moment 0.000 μB/f.u., raw total energy -90.754 eV for the cell shown. Number 6: total magnetic moment 3.798 μB/f.u., raw total energy -18.062 eV for the cell shown. Number 7: total magnetic moment 0.000 μB/f.u., raw total energy -17.584 eV for the cell shown. Number 8: total magnetic moment 7.024 μB/f.u., raw total energy -40.815 eV for the cell shown.